{
  "formula": "PuMnSO2",
  "functional": "GGA+U",
  "state": "optimized geometry",
  "lattice": [[6.804, 0.000, 0.000], [0.000, 3.958, 0.000], [-2.924, 0.000, 6.578]],
  "species": ["Pu", "Pu", "Mn", "Mn", "S", "S", "O", "O", "O", "O"],
  "fractional_positions": [[0.238, 0.250, 0.047], [0.762, 0.750, 0.953], [0.307, 0.750, 0.461], [0.693, 0.250, 0.539], [0.304, 0.750, 0.802], [0.696, 0.250, 0.198], [0.113, 0.750, 0.132], [0.346, 0.250, 0.387], [0.654, 0.750, 0.613], [0.887, 0.250, 0.868]],
  "spacegroup": "P2_1/m",
  "dft_energy_ha_per_atom": -0.3367
}